No. 1
! Pr2CdGa2, optimized geometry, DFT GGA-PBE; values from VASP
! Crystal system = monoclinic
! ΔE_f = -2.61 eV/f.u.
! Symmetry = No. 12
! DOS(E_F) = 0.705 states/eV per atom
&SYSTEM
  ibrav = 0, nat = 10, ntyp = 3
/
ATOMIC_SPECIES
Pr 140.91 Pr.upf
Cd 112.41 Cd.upf
Ga 69.72 Ga.upf
CELL_PARAMETERS angstrom
5.700 -2.312 0.000
5.700 2.312 0.000
-5.194 0.000 9.692
ATOMIC_POSITIONS crystal
Pr 0.002 0.002 0.322
Pr 0.181 0.181 0.095
Pr 0.819 0.819 0.905
Pr 0.998 0.998 0.678
Cd 0.277 0.277 0.643
Cd 0.723 0.723 0.357
Ga 0.370 0.370 0.432
Ga 0.479 0.479 0.113
Ga 0.521 0.521 0.887
Ga 0.630 0.630 0.568

***

No. 2
! Li6CeIn6, optimized geometry, DFT GGA-PBE; values from VASP
! Crystal system = orthorhombic
! ΔE_f = -3.71 eV/f.u.
! Symmetry = No. 71
! DOS(E_F) = 0.859 states/eV per atom
&SYSTEM
  ibrav = 0, nat = 13, ntyp = 3
/
ATOMIC_SPECIES
Li 6.94 Li.upf
Ce 140.12 Ce.upf
In 114.82 In.upf
CELL_PARAMETERS angstrom
-2.861 4.836 4.897
2.861 -4.836 4.897
2.861 4.836 -4.897
ATOMIC_POSITIONS crystal
Li 0.000 0.000 0.500
Li 0.000 0.500 0.000
Li 0.231 0.231 0.000
Li 0.500 0.000 0.000
Li 0.500 0.500 0.500
Li 0.769 0.769 0.000
Ce 0.000 0.500 0.500
In 0.201 0.000 0.201
In 0.342 0.842 0.500
In 0.346 0.500 0.846
In 0.654 0.500 0.154
In 0.658 0.158 0.500
In 0.799 0.000 0.799

***

No. 3
! YMg2B2O6, optimized geometry, DFT GGA-PBE; values from VASP
! Crystal system = trigonal
! Symmetry = No. 147
! DOS(E_F) = 0.099 states/eV per atom
! VASP energy = -7.373 eV/atom
&SYSTEM
  ibrav = 0, nat = 11, ntyp = 4
/
ATOMIC_SPECIES
Y 88.91 Y.upf
Mg 24.30 Mg.upf
B 10.81 B.upf
O 16.00 O.upf
CELL_PARAMETERS angstrom
4.978 0.000 0.000
-2.489 4.311 0.000
0.000 0.000 7.698
ATOMIC_POSITIONS crystal
Y 0.000 0.000 0.000
Mg 0.333 0.667 0.289
Mg 0.667 0.333 0.711
B 0.333 0.667 0.813
B 0.667 0.333 0.187
O 0.053 0.664 0.816
O 0.336 0.390 0.816
O 0.390 0.053 0.184
O 0.610 0.947 0.816
O 0.664 0.610 0.184
O 0.947 0.336 0.184

***

No. 4
! Tb2CrHg, optimized geometry, DFT GGA-PBE; values from VASP
! Crystal system = tetragonal
! ΔE_f = -0.21 eV/f.u.
! Symmetry = No. 123
! DOS(E_F) = 0.714 states/eV per atom
&SYSTEM
  ibrav = 0, nat = 4, ntyp = 3
/
ATOMIC_SPECIES
Tb 158.93 Tb.upf
Cr 52.00 Cr.upf
Hg 200.59 Hg.upf
CELL_PARAMETERS angstrom
3.598 0.000 0.000
0.000 3.598 0.000
0.000 0.000 7.578
ATOMIC_POSITIONS crystal
Tb 0.000 0.000 0.232
Tb 0.000 0.000 0.768
Cr 0.500 0.500 0.000
Hg 0.500 0.500 0.500

***

No. 5
! RbMn4Tl3Cl12, optimized geometry, DFT GGA-PBE; values from VASP
! Crystal system = trigonal
! Symmetry = No. 155
! DOS(E_F) = 0.000 states/eV per atom
! VASP energy = -4.422 eV/atom
&SYSTEM
  ibrav = 0, nat = 20, ntyp = 4
/
ATOMIC_SPECIES
Rb 85.47 Rb.upf
Mn 54.94 Mn.upf
Tl 204.38 Tl.upf
Cl 35.45 Cl.upf
CELL_PARAMETERS angstrom
7.715 4.454 3.859
-7.715 4.454 3.859
0.000 -8.908 3.859
ATOMIC_POSITIONS crystal
Rb 0.000 0.000 0.000
Mn 0.039 0.500 0.961
Mn 0.500 0.500 0.500
Mn 0.500 0.961 0.039
Mn 0.961 0.039 0.500
Tl 0.000 0.537 0.463
Tl 0.463 0.000 0.537
Tl 0.537 0.463 0.000
Cl 0.028 0.652 0.818
Cl 0.109 0.891 0.500
Cl 0.182 0.348 0.972
Cl 0.348 0.972 0.182
Cl 0.353 0.647 0.500
Cl 0.500 0.109 0.891
Cl 0.500 0.353 0.647
Cl 0.647 0.500 0.353
Cl 0.652 0.818 0.028
Cl 0.818 0.028 0.652
Cl 0.891 0.500 0.109
Cl 0.972 0.182 0.348

***

No. 6
! NiHgBiH2, optimized geometry, DFT GGA-PBE; values from VASP
! Crystal system = tetragonal
! Symmetry = No. 123
! DOS(E_F) = 0.640 states/eV per atom
! VASP energy = -2.823 eV/atom
&SYSTEM
  ibrav = 0, nat = 5, ntyp = 4
/
ATOMIC_SPECIES
Ni 58.69 Ni.upf
Hg 200.59 Hg.upf
Bi 208.98 Bi.upf
H 1.01 H.upf
CELL_PARAMETERS angstrom
3.704 0.000 0.000
0.000 3.704 0.000
0.000 0.000 6.798
ATOMIC_POSITIONS crystal
Ni 0.000 0.000 0.000
Hg 0.500 0.500 0.500
Bi 0.500 0.500 0.000
H 0.000 0.500 0.500
H 0.500 0.000 0.500

***

No. 7
! Nd6Er12Sc, optimized geometry, DFT GGA-PBE; values from VASP
! Crystal system = trigonal
! ΔE_f = 2.18 eV/f.u.
! Symmetry = No. 166
! DOS(E_F) = 1.546 states/eV per atom
&SYSTEM
  ibrav = 0, nat = 19, ntyp = 3
/
ATOMIC_SPECIES
Nd 144.24 Nd.upf
Er 167.26 Er.upf
Sc 44.96 Sc.upf
CELL_PARAMETERS angstrom
5.528 3.192 5.775
-5.528 3.192 5.775
0.000 -6.383 5.775
ATOMIC_POSITIONS crystal
Nd 0.272 0.272 0.664
Nd 0.272 0.664 0.272
Nd 0.336 0.728 0.728
Nd 0.664 0.272 0.272
Nd 0.728 0.336 0.728
Nd 0.728 0.728 0.336
Er 0.015 0.015 0.695
Er 0.015 0.695 0.015
Er 0.017 0.363 0.363
Er 0.305 0.985 0.985
Er 0.363 0.017 0.363
Er 0.363 0.363 0.017
Er 0.637 0.637 0.983
Er 0.637 0.983 0.637
Er 0.695 0.015 0.015
Er 0.983 0.637 0.637
Er 0.985 0.305 0.985
Er 0.985 0.985 0.305
Sc 0.500 0.500 0.500

***

No. 8
! Sm2InPb4, optimized geometry, DFT GGA-PBE; values from VASP
! Crystal system = orthorhombic
! ΔE_f = -2.37 eV/f.u.
! Symmetry = No. 65
! DOS(E_F) = 0.506 states/eV per atom
! Energy above the lowest structure with this stoichiometry = 0.0 meV/atom
&SYSTEM
  ibrav = 0, nat = 7, ntyp = 3
/
ATOMIC_SPECIES
Sm 150.36 Sm.upf
In 114.82 In.upf
Pb 207.20 Pb.upf
CELL_PARAMETERS angstrom
4.629 -4.921 0.000
4.629 4.921 0.000
0.000 0.000 4.712
ATOMIC_POSITIONS crystal
Sm 0.240 0.760 0.000
Sm 0.760 0.240 0.000
In 0.000 0.000 0.500
Pb 0.000 0.500 0.500
Pb 0.270 0.270 0.000
Pb 0.500 0.000 0.500
Pb 0.730 0.730 0.000

***

No. 9
! HfZr3N, optimized geometry, DFT GGA-PBE; values from VASP
! Crystal system = cubic
! Symmetry = No. 221
! DOS(E_F) = 1.520 states/eV per atom
! Energy above the lowest structure with this stoichiometry = 2862.2 meV/atom
&SYSTEM
  ibrav = 0, nat = 5, ntyp = 3
/
ATOMIC_SPECIES
Hf 178.49 Hf.upf
Zr 91.22 Zr.upf
N 14.01 N.upf
CELL_PARAMETERS angstrom
5.117 0.000 0.000
0.000 5.117 0.000
0.000 0.000 5.117
ATOMIC_POSITIONS crystal
Hf 0.000 0.000 0.000
Zr 0.000 0.000 0.500
Zr 0.000 0.500 0.000
Zr 0.500 0.000 0.000
N 0.500 0.500 0.500

***

No. 10
! K4Nd3SiO8, optimized geometry, DFT GGA-PBE; values from VASP
! Crystal system = trigonal
! Symmetry = No. 166
! DOS(E_F) = 0.070 states/eV per atom
! VASP energy = -6.257 eV/atom
&SYSTEM
  ibrav = 0, nat = 16, ntyp = 4
/
ATOMIC_SPECIES
K 39.10 K.upf
Nd 144.24 Nd.upf
Si 28.09 Si.upf
O 16.00 O.upf
CELL_PARAMETERS angstrom
3.469 2.003 6.310
-3.469 2.003 6.310
0.000 -4.005 6.310
ATOMIC_POSITIONS crystal
K 0.000 0.000 0.000
K 0.000 0.500 0.500
K 0.500 0.000 0.500
K 0.500 0.500 0.000
Nd 0.000 0.000 0.500
Nd 0.000 0.500 0.000
Nd 0.500 0.000 0.000
Si 0.500 0.500 0.500
O 0.235 0.235 0.235
O 0.286 0.691 0.691
O 0.309 0.309 0.714
O 0.309 0.714 0.309
O 0.691 0.286 0.691
O 0.691 0.691 0.286
O 0.714 0.309 0.309
O 0.765 0.765 0.765

***

No. 11
! AlRu2Pb, optimized geometry, DFT GGA-PBE; values from VASP
! Crystal system = tetragonal
! ΔE_f = 0.13 eV/f.u.
! Symmetry = No. 123
! DOS(E_F) = 0.422 states/eV per atom
! Energy above the lowest structure with this stoichiometry = 29.9 meV/atom
&SYSTEM
  ibrav = 0, nat = 4, ntyp = 3
/
ATOMIC_SPECIES
Al 26.98 Al.upf
Ru 101.07 Ru.upf
Pb 207.20 Pb.upf
CELL_PARAMETERS angstrom
4.471 0.000 0.000
0.000 4.471 0.000
0.000 0.000 3.211
ATOMIC_POSITIONS crystal
Al 0.000 0.000 0.000
Ru 0.000 0.500 0.500
Ru 0.500 0.000 0.500
Pb 0.500 0.500 0.000

***

No. 12
! Nd3Pd, optimized geometry, DFT GGA-PBE; values from VASP
! Crystal system = orthorhombic
! ΔE_f = -1.26 eV/f.u.
! Symmetry = No. 44
! DOS(E_F) = 1.636 states/eV per atom
&SYSTEM
  ibrav = 0, nat = 4, ntyp = 2
/
ATOMIC_SPECIES
Nd 144.24 Nd.upf
Pd 106.42 Pd.upf
CELL_PARAMETERS angstrom
-1.891 5.497 2.901
1.891 -5.497 2.901
1.891 5.497 -2.901
ATOMIC_POSITIONS crystal
Nd 0.000 0.000 0.000
Nd 0.320 0.523 0.797
Nd 0.726 0.523 0.203
Pd 0.405 0.905 0.500